Below is a relaxed structure of TlInAu3, with properties calculated at the PBE level.

```
data_TlInAu3
_chemical_formula_sum 'Tl4 In4 Au12'
_symmetry_space_group_name_H-M 'P 1'
_symmetry_Int_Tables_number 1
_cell_length_a 7.357
_cell_length_b 8.012
_cell_length_c 7.703
_cell_angle_alpha 88.48
_cell_angle_beta 90.00
_cell_angle_gamma 90.00
loop_
_symmetry_equiv_pos_as_xyz
'x,y,z'
loop_
_atom_site_label
_atom_site_fract_x
_atom_site_fract_y
_atom_site_fract_z
_atom_site_occupancy
Tl1 0.350 0.493 0.326 1
Tl2 0.650 0.507 0.674 1
Tl3 0.850 0.507 0.174 1
Tl4 0.150 0.493 0.826 1
In1 0.744 0.094 0.001 1
In2 0.256 0.906 0.999 1
In3 0.244 0.906 0.499 1
In4 0.756 0.094 0.501 1
Au1 0.952 0.897 0.246 1
Au2 0.048 0.103 0.754 1
Au3 0.452 0.103 0.254 1
Au4 0.548 0.897 0.746 1
Au5 0.100 0.219 0.111 1
Au6 0.900 0.781 0.889 1
Au7 0.600 0.781 0.389 1
Au8 0.400 0.219 0.611 1
Au9 0.531 0.674 0.037 1
Au10 0.469 0.326 0.963 1
Au11 0.031 0.326 0.463 1
Au12 0.969 0.674 0.537 1
```

Formation energy ... -6.4 kJ per mole of atoms
Volume ... 22.7 Å³/atom
E above lowest polymorph ... 0.007 eV per atom
Space group ... P2_1/c (14)

Below is a relaxed structure of Pm12AgIr6, with properties calculated at the PBE level.

```
data_Pm12AgIr6
_chemical_formula_sum 'Pm12 Ag1 Ir6'
_symmetry_space_group_name_H-M 'P 1'
_symmetry_Int_Tables_number 1
_cell_length_a 8.829
_cell_length_b 8.829
_cell_length_c 8.829
_cell_angle_alpha 109.47
_cell_angle_beta 109.47
_cell_angle_gamma 109.47
loop_
_symmetry_equiv_pos_as_xyz
'x,y,z'
loop_
_atom_site_label
_atom_site_fract_x
_atom_site_fract_y
_atom_site_fract_z
_atom_site_occupancy
Pm1 0.303 0.111 0.809 1
Pm2 0.303 0.494 0.191 1
Pm3 0.697 0.506 0.809 1
Pm4 0.697 0.889 0.191 1
Pm5 0.111 0.809 0.303 1
Pm6 0.494 0.191 0.303 1
Pm7 0.506 0.809 0.697 1
Pm8 0.889 0.191 0.697 1
Pm9 0.809 0.303 0.111 1
Pm10 0.191 0.303 0.494 1
Pm11 0.809 0.697 0.506 1
Pm12 0.191 0.697 0.889 1
Ag1 0.000 0.000 0.000 1
Ir1 0.375 0.500 0.875 1
Ir2 0.625 0.500 0.125 1
Ir3 0.500 0.875 0.375 1
Ir4 0.500 0.125 0.625 1
Ir5 0.875 0.375 0.500 1
Ir6 0.125 0.625 0.500 1
```

Formation energy ... -45.0 kJ per mole of atoms
Volume ... 27.9 Å³/atom
Space group ... Im-3 (204)

Below is a relaxed structure of TaAl3Co, with properties calculated at the PBE level.

```
data_TaAl3Co
_chemical_formula_sum 'Ta1 Al3 Co1'
_symmetry_space_group_name_H-M 'P 1'
_symmetry_Int_Tables_number 1
_cell_length_a 4.956
_cell_length_b 4.956
_cell_length_c 4.956
_cell_angle_alpha 90.00
_cell_angle_beta 90.00
_cell_angle_gamma 90.00
loop_
_symmetry_equiv_pos_as_xyz
'x,y,z'
loop_
_atom_site_label
_atom_site_fract_x
_atom_site_fract_y
_atom_site_fract_z
_atom_site_occupancy
Co1 0.500 0.500 0.500 1
Al1 0.000 0.500 0.000 1
Al2 0.000 0.000 0.500 1
Al3 0.500 0.000 0.000 1
Ta1 0.000 0.000 0.000 1
```

Formation energy ... 131.7 kJ per mole of atoms
Volume ... 24.4 Å³/atom
E above lowest polymorph ... 1.002 eV per atom
Space group ... Pm-3m (221)